(1)
Material: BaHgRu2
Method: DFT, meta-GGA SCAN
State: PBEsol geometry

Values from the calculation:
Symmetry ... P4/mmm, No. 123

a = 3.5491 Å, b = 3.5491 Å, c = 6.8968 Å
α = 90.00°, β = 90.00°, γ = 90.00°
Element x y z (fractional)
Ba: 0.0000 0.0000 0.0000
Hg: 0.0000 0.0000 0.5000
Ru: 0.5000 0.5000 0.3240
Ru: 0.5000 0.5000 0.6760

***

(2)
Material: LaY2Sc
Method: DFT, meta-GGA SCAN
State: PBEsol geometry

Values from the calculation:
Symmetry ... Pmmm, No. 47
ΔE to the lowest computed polymorph ... 0.036 eV/f.u.

a = 3.5086 Å, b = 4.8760 Å, c = 6.8895 Å
α = 90.00°, β = 90.00°, γ = 90.00°
Element x y z (fractional)
La: 0.0000 0.0000 0.0000
Y: 0.5000 0.5000 0.2606
Y: 0.5000 0.5000 0.7394
Sc: 0.0000 0.0000 0.5000

***

(3)
Material: MgScCd
Method: DFT, meta-GGA SCAN
State: PBEsol geometry

Values from the calculation:
Symmetry ... Imm2, No. 44

a = 5.2887 Å, b = 5.2887 Å, c = 5.2887 Å
α = 146.15°, β = 128.11°, γ = 63.41°
Element x y z (fractional)
Mg: 0.0000 0.0000 0.0000
Sc: 0.6679 0.6679 0.0000
Cd: 0.3314 0.3314 0.0000

***

| no. | energy of formation from the pure elements (eV per atom) |
| --- | --- |
| 1 | 0.786 |
| 2 | 0.078 |
| 3 | -0.139 |